Rb2CeI2F4: relaxed, GGA-PBE.

a b c (Å): 7.4178 7.4178 7.4178
angles (deg): 90.93 119.46 119.46
Fractional positions:
Rb: 0.5000 0.7500 0.2500
Rb: 0.5000 0.2500 0.7500
Ce: 0.0000 0.0000 0.0000
I: 0.0000 0.7002 0.7002
I: 0.0000 0.2998 0.2998
F: 0.0000 0.7988 0.2012
F: 0.5975 0.7988 0.7988
F: 0.0000 0.2012 0.7988
F: 0.4025 0.2012 0.2012

Properties
total moment	0.0	μB per cell
space-group type	I4/mmm (139)
raw total energy	-4.694	eV per atom